A geometry-optimized TaV2Ni6 structure. Source: Alexandria via LeMat-Bulk, functional PBE.

The structure in CIF format:
```
data_TaV2Ni6
_space_group_name_H-M_alt 'P -3 m 1'
_space_group_IT_number 164
_space_group_name_Hall '-P 3 2"'
_cell_length_a 4.9155
_cell_length_b 4.9155
_cell_length_c 5.5956
_cell_angle_alpha 90.00
_cell_angle_beta 90.00
_cell_angle_gamma 120.00
loop_
_atom_site_label
_atom_site_type_symbol
_atom_site_fract_x
_atom_site_fract_y
_atom_site_fract_z
_atom_site_occupancy
Ta1 Ta 0.0000 0.0000 0.0000 1
V1 V 0.3333 0.6667 0.8878 1
Ni1 Ni 0.1753 0.3506 0.3303 1
```

The value obtained for the density of states at the Fermi level is 1.13 states/eV/atom. As for the raw total energy: -7.12 eV per atom. For the total magnetization, the calculation gives 2.849 μB/cell. The energy of formation comes out at 78.7 meV/atom.

A geometry-optimized TaVNi3 structure. Source: Alexandria via LeMat-Bulk, functional PBE.

The structure in CIF format:
```
data_TaVNi3
_space_group_name_H-M_alt 'C m c m'
_space_group_IT_number 63
_space_group_name_Hall '-C 2c 2'
_cell_length_a 4.697
_cell_length_b 12.856
_cell_length_c 4.496
_cell_angle_alpha 90.00
_cell_angle_beta 90.00
_cell_angle_gamma 90.00
loop_
_atom_site_label
_atom_site_type_symbol
_atom_site_fract_x
_atom_site_fract_y
_atom_site_fract_z
_atom_site_occupancy
Ta1 Ta 0.000 0.195 0.250 1
V1 V 0.000 0.450 0.750 1
Ni1 Ni 0.000 0.000 0.000 1
Ni2 Ni 0.246 0.364 0.250 1
```

Its energy above the most stable polymorph in this dataset is 0.000 eV/atom. The value obtained for the density of states at the Fermi level is 0.97 states/eV/atom. As for the raw total energy: -7.65 eV per atom. For the total magnetization, the calculation gives 7.008 μB/cell. The energy of formation comes out at 14.6 meV/atom.